Li2CeNpN4 | GGA-PBE | relaxed

Calculated values
Total moment   1.05 μB per formula unit
SG   P2/m (10)
Formation energy (no corrections)   -7.7 eV/f.u.

The structure in extended XYZ format:
```
8
Lattice="5.374 0.000 0.000 0.000 3.513 0.000 -2.286 0.000 5.604" Properties=species:S:1:pos:R:3 pbc="T T T"
Li 0.000 0.000 0.000
Li -1.143 1.757 2.802
Ce 1.544 0.000 2.802
Np 2.687 1.757 0.000
N -0.249 0.000 4.357
N 1.068 1.757 1.306
N 2.020 1.757 4.298
N 3.337 0.000 1.247
```